The following is a PBE-GGA calculation of RbCd after structural relaxation, from the Alexandria database.

abc: 20.282 5.665 4.982
angles: 90.00 90.00 90.00
Fractional positions:
Rb1 0.345 0.000 0.000
Cd1 0.210 0.000 0.500
Rb2 0.845 0.500 0.000
Cd2 0.790 0.000 0.500
Rb3 0.155 0.500 0.000
Cd3 0.000 0.500 0.500
Rb4 0.000 0.000 0.000
Cd4 0.710 0.500 0.500
Rb5 0.655 0.000 0.000
Rb6 0.500 0.500 0.000
Cd5 0.500 0.000 0.500
Cd6 0.290 0.500 0.500

Results
DOS(E_F)   0.613 states/eV per atom
Electronic total energy   -0.904 eV/atom
Total moment   0.00 μB/cell
E_form   37 meV per atom